# 1
{"formula": "VCr4S8", "functional": "PBE", "state": "relaxed", "cell": [[6.823, 0.000, 0.000], [3.411, 5.909, 0.000], [3.411, 1.970, 5.571]], "species": ["V", "Cr", "Cr", "Cr", "Cr", "S", "S", "S", "S", "S", "S", "S", "S"], "fractional_positions": [[0.750, 0.750, 0.750], [0.837, 0.388, 0.388], [0.388, 0.837, 0.388], [0.388, 0.388, 0.837], [0.388, 0.388, 0.388], [0.580, 0.140, 0.140], [0.140, 0.580, 0.140], [0.140, 0.140, 0.580], [0.140, 0.140, 0.140], [0.137, 0.621, 0.621], [0.621, 0.137, 0.621], [0.621, 0.621, 0.137], [0.621, 0.621, 0.621]], "raw_formation_energy_ev_per_atom": -0.428, "volume_a3_per_cell": 224.58}

---

# 2
{"formula": "V2CrS6", "functional": "PBE", "state": "relaxed", "cell": [[5.641, 0.000, 0.000], [0.000, 5.641, 0.000], [0.000, 0.000, 9.989]], "species": ["V", "V", "V", "V", "Cr", "Cr", "S", "S", "S", "S", "S", "S", "S", "S", "S", "S", "S", "S"], "fractional_positions": [[0.500, 0.500, 0.344], [0.500, 0.500, 0.656], [0.000, 0.000, 0.156], [0.000, 0.000, 0.844], [0.500, 0.500, 0.000], [0.000, 0.000, 0.500], [0.697, 0.697, 0.170], [0.697, 0.697, 0.830], [0.708, 0.708, 0.500], [0.792, 0.208, 0.000], [0.803, 0.197, 0.330], [0.803, 0.197, 0.670], [0.197, 0.803, 0.330], [0.197, 0.803, 0.670], [0.208, 0.792, 0.000], [0.292, 0.292, 0.500], [0.303, 0.303, 0.170], [0.303, 0.303, 0.830]], "raw_formation_energy_ev_per_atom": -0.636, "volume_a3_per_cell": 317.82, "de_polymorph_mev_per_atom": 123}

---

# 3
{"formula": "V2CrS", "functional": "PBE", "state": "relaxed", "cell": [[2.975, 0.000, 0.000], [1.487, 2.576, 0.000], [1.487, 0.859, 6.958]], "species": ["Cr", "S", "V", "V"], "fractional_positions": [[0.000, 0.000, 0.000], [0.500, 0.500, 0.500], [0.249, 0.249, 0.254], [0.751, 0.751, 0.746]], "raw_formation_energy_ev_per_atom": -0.097, "volume_a3_per_cell": 53.32}

---

# 4
{"formula": "V3CrS4", "functional": "PBE", "state": "relaxed", "cell": [[5.900, 0.000, 0.000], [0.000, 5.618, 0.000], [0.000, 0.000, 7.839]], "species": ["V", "V", "V", "V", "V", "V", "Cr", "Cr", "S", "S", "S", "S", "S", "S", "S", "S"], "fractional_positions": [[0.611, 0.651, 0.000], [0.979, 0.638, 0.215], [0.479, 0.362, 0.285], [0.111, 0.349, 0.500], [0.479, 0.362, 0.715], [0.979, 0.638, 0.785], [0.931, 0.053, 0.000], [0.431, 0.947, 0.500], [0.213, 0.759, 0.000], [0.575, 0.250, 0.000], [0.113, 0.247, 0.221], [0.613, 0.753, 0.279], [0.075, 0.750, 0.500], [0.713, 0.241, 0.500], [0.613, 0.753, 0.721], [0.113, 0.247, 0.779]], "raw_formation_energy_ev_per_atom": -0.538, "volume_a3_per_cell": 259.81}